TaHgP2Cl after structural relaxation, computed with PBE-GGA.

Cell: 4.8896 4.8896 4.8914 Å, 90.00 90.00 90.00°
Closest atoms and distances in Å follow each position.
Atoms (fractional coordinates):
P  0.5000  0.0000  0.0000  2 Hg 2.44
P  0.0000  0.5000  0.0000  2 Hg 2.44
Ta  0.5000  0.5000  0.5000  4 Cl 3.46, 8 P 3.46
Cl  0.0000  0.0000  0.5000  2 Hg 2.45
Hg  0.0000  0.0000  0.0000  4 P 2.44, 2 Cl 2.45

- Space group: P4/mmm, No. 123
- Crystal system: tetragonal
- Total magnetic moment: 0.01 μB per formula unit
- Energy relative to the elements, uncorrected: 7.97 eV per formula unit
- Polymorph energy (0 for the lowest one): 1555 meV per atom